## PuH14C16N4Cl6 (PBE)

Data for crystalline PuH14C16N4Cl6 at its relaxed geometry.

Results
Its final energy is -264.05 eV for the cell shown.

Lattice parameters (Å, degrees): 7.3627 7.9887 9.4549 82.94 71.57 86.39
Last column: nearest neighbours and their distance in Å.
Fractional positions:
C: 0.1806 0.4593 0.7682  1 H 1.09
C: 0.8194 0.5407 0.2318  1 H 1.09
H: 0.7336 0.3053 0.1884  1 C 1.09
Cl: 0.6514 0.2950 0.9348  1 Pu 2.59, 2 H 2.62-2.66
N: 0.8734 0.8174 0.5550  1 H 1.04
Cl: 0.4736 0.0142 0.7325  1 Pu 2.59, 2 H 2.74-2.83
C: 0.7474 0.3799 0.2735  1 H 1.09
H: 0.7526 0.6311 0.7229  1 C 1.09
H: 0.6340 0.1838 0.4547  1 C 1.09
C: 0.2985 0.5980 0.4627  1 H 1.09
C: 0.2247 0.4341 0.5032  3 C 1.41-1.43
C: 0.2526 0.6201 0.7265  1 H 1.09
H: 0.9626 0.8593 0.1946  1 C 1.09
H: 0.1053 0.1075 0.3697  1 N 1.04
C: 0.7753 0.5659 0.4968  3 C 1.41-1.43
Cl: 0.8371 0.8537 0.9063  3 H 2.49-2.71, 1 Pu 2.61
N: 0.9354 0.8884 0.4114  1 C 1.32, 1 N 1.35
C: 0.6896 0.3109 0.4254  1 H 1.09
H: 0.2474 0.3689 0.2771  1 C 1.09
C: 0.1643 0.3645 0.6569  3 C 1.41-1.43
C: 0.7956 0.6680 0.6021  1 H 1.09
H: 0.8947 0.8925 0.6303  1 N 1.04
C: 0.7015 0.4020 0.5373  1 H 1.09
C: 0.2044 0.3320 0.3979  1 H 1.09
C: 0.8357 0.6355 0.3431  3 C 1.41-1.43
H: 0.3441 0.6513 0.3452  1 C 1.09
C: 0.3104 0.6891 0.5746  1 H 1.09
H: 0.0374 0.1407 0.8054  1 C 1.09
Cl: 0.3486 0.7050 0.0652  1 Pu 2.59, 2 H 2.62-2.66
H: 0.1375 0.4048 0.8854  1 C 1.09
H: 0.2664 0.6947 0.8116  1 C 1.09
H: 0.6559 0.3487 0.6548  1 C 1.09
N: 0.0646 0.1116 0.5886  1 C 1.32, 1 N 1.35
H: 0.8625 0.5952 0.1146  1 C 1.09
Pu: 0.5000 0.0000 0.0000  6 Cl 2.59-2.61
C: 0.9133 0.7993 0.3098  1 H 1.09
Cl: 0.5264 0.9858 0.2675  1 Pu 2.59, 2 H 2.74-2.83
Cl: 0.1629 0.1463 0.0937  3 H 2.49-2.71, 1 Pu 2.61
N: 0.1266 0.1826 0.4450  1 H 1.04
C: 0.0867 0.2007 0.6902  1 H 1.09
H: 0.3660 0.8162 0.5453  1 C 1.09